K4HfO4 | SCAN | single point on PBEsol structure

Output
Space-group type: P-1
Total DFT energy (no corrections) (Ry per atom): -1.1581
Calculated volume (A^3/atom): 20.01
Size of the total moment (μB/f.u.): 0.14

Cell lengths 6.5041, 6.4843, 9.7576 Å; angles 71.74, 80.55, 67.31 degrees
Closest atoms and distances in Å follow each position.
Fractional positions:
K 0.7721 0.0440 0.3888  5 O 2.71-2.90
K 0.2279 0.9560 0.6112  5 O 2.71-2.90
K 0.7309 0.6007 0.1734  4 O 2.65-2.76
K 0.2691 0.3993 0.8266  4 O 2.65-2.76
K 0.2392 0.7602 0.0197  4 O 2.61-2.68
K 0.7608 0.2398 0.9803  4 O 2.61-2.68
K 0.2700 0.5168 0.4397  5 O 2.67-2.86
K 0.7300 0.4832 0.5603  5 O 2.67-2.86
Hf 0.2787 0.1562 0.2444  4 O 1.95-1.96
Hf 0.7213 0.8438 0.7556  4 O 1.95-1.96
O 0.0358 0.2937 0.3728  1 Hf 1.96
O 0.9642 0.7063 0.6272  1 Hf 1.96
O 0.5418 0.1547 0.6426  1 Hf 1.96
O 0.4582 0.8453 0.3574  1 Hf 1.96
O 0.4660 0.3465 0.1940  1 Hf 1.96
O 0.5340 0.6535 0.8060  1 Hf 1.96
O 0.1496 0.1542 0.0777  1 Hf 1.95
O 0.8504 0.8458 0.9223  1 Hf 1.95

---

SrAgTe2 | SCAN | single point on PBEsol structure

Output
Space-group type: Cm
Total DFT energy (no corrections) (Ry per atom): -2.4162
Calculated volume (A^3/atom): 30.83
Size of the total moment (μB/f.u.): 0.00

Cell lengths 4.5285, 4.6486, 6.4932 Å; angles 110.97, 103.91, 90.00 degrees
Closest atoms and distances in Å follow each position.
Fractional positions:
Ag 0.6478 0.5588 0.1176  4 Te 2.70-2.91
Sr 0.8420 0.2786 0.5573  6 Te 3.30-3.42, 2 Ag 3.47
Te 0.7399 0.9591 0.9182  2 Ag 2.70
Te 0.2703 0.7035 0.4069  2 Ag 2.75-2.91

---

BaCu2Te2Cl2O6 | SCAN | single point on PBEsol structure

Output
Space-group type: P2_1
Total DFT energy (no corrections) (Ry per atom): -1.2229
Calculated volume (A^3/atom): 17.14
Size of the total moment (μB/f.u.): 2.00

Cell lengths 7.4054, 7.3794, 8.2283 Å; angles 90.00, 97.55, 90.00 degrees
Closest atoms and distances in Å follow each position.
Fractional positions:
Ba 0.8638 0.6618 0.9342  5 O 2.56-2.84
Ba 0.1362 0.1618 0.0658  5 O 2.56-2.84
Cu 0.6418 0.1584 0.9132  4 O 1.92-1.98
Cu 0.6845 0.6850 0.4051  3 O 1.92-2.00
Cu 0.3155 0.1850 0.5949  3 O 1.92-2.00
Cu 0.3582 0.6584 0.0868  4 O 1.92-1.98
Te 0.8684 0.0321 0.6050  3 O 1.89-1.91
Te 0.3413 0.8049 0.7618  3 O 1.92-1.94
Te 0.6587 0.3049 0.2382  3 O 1.92-1.94
Te 0.1316 0.5321 0.3950  3 O 1.89-1.91
Cl 0.5475 0.3911 0.6147  1 Cu 2.28
Cl 0.8886 0.9210 0.2452  1 Cu 2.75, 1 Ba 3.07
Cl 0.1114 0.4210 0.7548  1 Cu 2.75, 1 Ba 3.07
Cl 0.4525 0.8911 0.3853  1 Cu 2.28
O 0.4777 0.2190 0.0667  1 Cu 1.92, 1 Te 1.92
O 0.8135 0.7814 0.6038  1 Te 1.89, 1 Cu 1.92
O 0.1272 0.0007 0.6296  1 Te 1.91, 1 Cu 2.00
O 0.4544 0.0414 0.7628  2 Cu 1.93-1.94, 1 Te 1.94
O 0.5223 0.7190 0.9333  1 Cu 1.92, 1 Te 1.92
O 0.8728 0.5007 0.3704  1 Te 1.91, 1 Cu 2.00
O 0.5456 0.5414 0.2372  2 Cu 1.93-1.94, 1 Te 1.94
O 0.1988 0.8229 0.9411  1 Te 1.93, 1 Cu 1.98
O 0.8012 0.3229 0.0589  1 Te 1.93, 1 Cu 1.98
O 0.1497 0.5492 0.1666  1 Te 1.91, 1 Cu 1.93
O 0.8503 0.0492 0.8334  1 Te 1.91, 1 Cu 1.93
O 0.1865 0.2814 0.3962  1 Te 1.89, 1 Cu 1.92

---

Ba2CoCu | SCAN | single point on PBEsol structure

Output
Space-group type: Fm-3m
Total DFT energy (no corrections) (Ry per atom): -2.0208
Calculated volume (A^3/atom): 26.50
DFT formation energy (meV per atom): 407
Size of the total moment (μB/f.u.): 1.05

Cell lengths 5.3110, 5.3125, 5.3125 Å; angles 59.98, 60.01, 60.01 degrees
Closest atoms and distances in Å follow each position.
Fractional positions:
Co 0.0000 0.5000 0.5000  8 Ba 3.25
Ba 0.7500 0.2501 0.2501  4 Co 3.25, 4 Cu 3.25
Ba 0.2501 0.7500 0.7500  4 Co 3.25, 4 Cu 3.25
Cu 0.5000 0.0000 0.0000  8 Ba 3.25

---

BaV2N4 | SCAN | single point on PBEsol structure

Output
Space-group type: Pa-3
Total DFT energy (no corrections) (Ry per atom): -1.2585
Calculated volume (A^3/atom): 14.72
Size of the total moment (μB/f.u.): 0.00

Cell lengths 10.7325, 10.7325, 10.7325 Å; angles 90.00, 90.00, 90.00 degrees
Closest atoms and distances in Å follow each position.
Fractional positions:
Ba 0.5000 0.5000 0.0000  12 N 3.08-3.34
Ba 0.5000 0.0000 0.5000  12 N 3.08-3.34
Ba 0.0000 0.5000 0.5000  12 N 3.08-3.34
Ba 0.0000 0.0000 0.0000  12 N 3.08-3.34
Ba 0.1250 0.8750 0.3750  9 N 2.80-3.06
Ba 0.8750 0.3750 0.1250  9 N 2.80-3.06
Ba 0.3750 0.1250 0.8750  9 N 2.80-3.06
Ba 0.6250 0.6250 0.6250  9 N 2.80-3.06
Ba 0.8750 0.1250 0.6250  9 N 2.80-3.06
Ba 0.1250 0.6250 0.8750  9 N 2.80-3.06
Ba 0.6250 0.8750 0.1250  9 N 2.80-3.06
Ba 0.3750 0.3750 0.3750  9 N 2.80-3.06
V 0.3878 0.6955 0.3449  4 N 1.79-1.81
V 0.6122 0.1955 0.1551  4 N 1.79-1.81
V 0.1122 0.3045 0.8449  4 N 1.79-1.81
V 0.8878 0.8045 0.6551  4 N 1.79-1.81
V 0.3449 0.3878 0.6955  4 N 1.79-1.81
V 0.1551 0.6122 0.1955  4 N 1.79-1.81
V 0.8449 0.1122 0.3045  4 N 1.79-1.81
V 0.6551 0.8878 0.8045  4 N 1.79-1.81
V 0.6955 0.3449 0.3878  4 N 1.79-1.81
V 0.1955 0.1551 0.6122  4 N 1.79-1.81
V 0.3045 0.8449 0.1122  4 N 1.79-1.81
V 0.8045 0.6551 0.8878  4 N 1.79-1.81
V 0.6122 0.3045 0.6551  4 N 1.79-1.81
V 0.3878 0.8045 0.8449  4 N 1.79-1.81
V 0.8878 0.6955 0.1551  4 N 1.79-1.81
V 0.1122 0.1955 0.3449  4 N 1.79-1.81
V 0.6551 0.6122 0.3045  4 N 1.79-1.81
V 0.8449 0.3878 0.8045  4 N 1.79-1.81
V 0.1551 0.8878 0.6955  4 N 1.79-1.81
V 0.3449 0.1122 0.1955  4 N 1.79-1.81
V 0.3045 0.6551 0.6122  4 N 1.79-1.81
V 0.8045 0.8449 0.3878  4 N 1.79-1.81
V 0.6955 0.1551 0.8878  4 N 1.79-1.81
V 0.1955 0.3449 0.1122  4 N 1.79-1.81
N 0.3770 0.8419 0.2620  2 V 1.79-1.81
N 0.6230 0.3419 0.2380  2 V 1.79-1.81
N 0.1230 0.1581 0.7620  2 V 1.79-1.81
N 0.8770 0.6581 0.7380  2 V 1.79-1.81
N 0.2620 0.3770 0.8419  2 V 1.79-1.81
N 0.2380 0.6230 0.3419  2 V 1.79-1.81
N 0.7620 0.1230 0.1581  2 V 1.79-1.81
N 0.7380 0.8770 0.6581  2 V 1.79-1.81
N 0.8419 0.2620 0.3770  2 V 1.79-1.81
N 0.3419 0.2380 0.6230  2 V 1.79-1.81
N 0.1581 0.7620 0.1230  2 V 1.79-1.81
N 0.6581 0.7380 0.8770  2 V 1.79-1.81
N 0.6230 0.1581 0.7380  2 V 1.79-1.81
N 0.3770 0.6581 0.7620  2 V 1.79-1.81
N 0.8770 0.8419 0.2380  2 V 1.79-1.81
N 0.1230 0.3419 0.2620  2 V 1.79-1.81
N 0.7380 0.6230 0.1581  2 V 1.79-1.81
N 0.7620 0.3770 0.6581  2 V 1.79-1.81
N 0.2380 0.8770 0.8419  2 V 1.79-1.81
N 0.2620 0.1230 0.3419  2 V 1.79-1.81
N 0.1581 0.7380 0.6230  2 V 1.79-1.81
N 0.6581 0.7620 0.3770  2 V 1.79-1.81
N 0.8419 0.2380 0.8770  2 V 1.79-1.81
N 0.3419 0.2620 0.1230  2 V 1.79-1.81
N 0.4146 0.7258 0.5078  2 V 1.80
N 0.5854 0.2258 0.9922  2 V 1.80
N 0.0854 0.2742 0.0078  2 V 1.80
N 0.9146 0.7742 0.4922  2 V 1.80
N 0.5078 0.4146 0.7258  2 V 1.80
N 0.9922 0.5854 0.2258  2 V 1.80
N 0.0078 0.0854 0.2742  2 V 1.80
N 0.4922 0.9146 0.7742  2 V 1.80
N 0.7258 0.5078 0.4146  2 V 1.80
N 0.2258 0.9922 0.5854  2 V 1.80
N 0.2742 0.0078 0.0854  2 V 1.80
N 0.7742 0.4922 0.9146  2 V 1.80
N 0.5854 0.2742 0.4922  2 V 1.80
N 0.4146 0.7742 0.0078  2 V 1.80
N 0.9146 0.7258 0.9922  2 V 1.80
N 0.0854 0.2258 0.5078  2 V 1.80
N 0.4922 0.5854 0.2742  2 V 1.80
N 0.0078 0.4146 0.7742  2 V 1.80
N 0.9922 0.9146 0.7258  2 V 1.80
N 0.5078 0.0854 0.2258  2 V 1.80
N 0.2742 0.4922 0.5854  2 V 1.80
N 0.7742 0.0078 0.4146  2 V 1.80
N 0.7258 0.9922 0.9146  2 V 1.80
N 0.2258 0.5078 0.0854  2 V 1.80

---

CdH2Se2 | SCAN | single point on PBEsol structure

Output
Space-group type: I4/mmm
Total DFT energy (no corrections) (Ry per atom): -1.1356
Calculated volume (A^3/atom): 14.90
Size of the total moment (μB/f.u.): 0.00

Cell lengths 4.5971, 4.5971, 4.5971 Å; angles 105.20, 111.65, 111.65 degrees
Closest atoms and distances in Å follow each position.
Fractional positions:
H 0.0000 0.5687 0.5687  1 H 0.77
H 0.0000 0.4313 0.4313  1 H 0.77
Se 0.5000 0.7500 0.2500  4 H 2.77, 2 Se 2.79, 4 Cd 2.94
Se 0.5000 0.2500 0.7500  4 H 2.77, 2 Se 2.79, 4 Cd 2.94
Cd 0.0000 0.0000 0.0000  2 H 2.41

---

KScAsC2 | SCAN | single point on PBEsol structure

Output
Space-group type: P4/mmm
Total DFT energy (no corrections) (Ry per atom): -0.8276
Calculated volume (A^3/atom): 19.70
DFT formation energy (meV per atom): 1331
Size of the total moment (μB/f.u.): 0.00

Cell lengths 4.4270, 4.4270, 5.0266 Å; angles 90.00, 90.00, 90.00 degrees
Closest atoms and distances in Å follow each position.
Fractional positions:
Sc 0.0000 0.0000 0.0000  4 C 2.21
C 0.0000 0.5000 0.0000  2 Sc 2.21
C 0.5000 0.0000 0.0000  2 Sc 2.21
As 0.0000 0.0000 0.5000  2 Sc 2.51
K 0.5000 0.5000 0.5000  4 As 3.13, 8 C 3.35

---

BaTcTe2 | SCAN | single point on PBEsol structure

Output
Space-group type: P4/mmm
Total DFT energy (no corrections) (Ry per atom): -2.7415
Calculated volume (A^3/atom): 26.99
Size of the total moment (μB/f.u.): 3.26

Cell lengths 3.7474, 5.3679, 5.3679 Å; angles 90.00, 90.00, 90.00 degrees
Closest atoms and distances in Å follow each position.
Fractional positions:
Ba 0.5000 0.5000 0.5000  8 Te 3.27
Tc 0.5000 0.0000 0.0000  8 Te 3.27
Te 0.0000 0.5000 0.0000  4 Ba 3.27, 4 Tc 3.27
Te 0.0000 0.0000 0.5000  4 Ba 3.27, 4 Tc 3.27